Record 1
## Ce2Co3ReB12 (PBE)

Data for crystalline Ce2Co3ReB12 at its relaxed geometry.

Calculated values
**Formation energy from the elements**: 1.0 eV/f.u.
**Crystal system**: trigonal

CIF file:
```
data_Ce2Co3ReB12
_chemical_formula_sum 'Ce6 Co9 Re3 B36'
_cell_length_a 5.4374
_cell_length_b 5.4374
_cell_length_c 22.9116
_cell_angle_alpha 90.00
_cell_angle_beta 90.00
_cell_angle_gamma 120.00
_space_group_name_H-M_alt 'R -3 m'
_space_group_IT_number 166
_space_group_name_Hall '-R 3 2"'
loop_
_atom_site_label
_atom_site_type_symbol
_atom_site_fract_x
_atom_site_fract_y
_atom_site_fract_z
Ce1 Ce 0.0000 0.0000 0.1408
Co1 Co 0.0000 0.5000 0.0000
Re1 Re 0.0000 0.0000 0.5000
B1 B 0.0805 0.5402 0.0892
B2 B 0.1057 0.2114 0.7350
```

***

Record 2
## TbY4Ga4 (PBE)

Data for crystalline TbY4Ga4 at its relaxed geometry.

Calculated values
**Formation energy from the elements**: -3.6 eV/f.u.
**Crystal system**: tetragonal

CIF file:
```
data_TbY4Ga4
_chemical_formula_sum 'Tb2 Y8 Ga8'
_cell_length_a 9.0599
_cell_length_b 9.0599
_cell_length_c 5.9752
_cell_angle_alpha 90.00
_cell_angle_beta 90.00
_cell_angle_gamma 90.00
_space_group_name_H-M_alt 'P 42/n'
_space_group_IT_number 86
loop_
_space_group_symop_operation_xyz
'x,y,z'
'-x,-y,-z'
'-y,x+1/2,z+1/2'
'y,-x+1/2,-z+1/2'
'-x+1/2,-y+1/2,z'
'x+1/2,y+1/2,-z'
'y+1/2,-x,z+1/2'
'-y+1/2,x,-z+1/2'
loop_
_atom_site_label
_atom_site_type_symbol
_atom_site_fract_x
_atom_site_fract_y
_atom_site_fract_z
Tb1 Tb 0.2500 0.2500 0.2500
Y1 Y 0.0664 0.6595 0.1301
Ga1 Ga 0.0223 0.6186 0.6178
```

***

Record 3
## TmSc2Tl (PBE)

Data for crystalline TmSc2Tl at its relaxed geometry.

Calculated values
**Formation energy from the elements**: -0.1 eV/f.u.
**Crystal system**: cubic

CIF file:
```
data_TmSc2Tl
_chemical_formula_sum 'Tm4 Sc8 Tl4'
_cell_length_a 7.3272
_cell_length_b 7.3272
_cell_length_c 7.3272
_cell_angle_alpha 90.00
_cell_angle_beta 90.00
_cell_angle_gamma 90.00
_space_group_name_H-M_alt 'F m -3 m'
_space_group_IT_number 225
_space_group_name_Hall '-F 4 2 3'
loop_
_atom_site_label
_atom_site_type_symbol
_atom_site_fract_x
_atom_site_fract_y
_atom_site_fract_z
Tm1 Tm 0.0000 0.0000 0.0000
Sc1 Sc 0.2500 0.2500 0.2500
Tl1 Tl 0.0000 0.0000 0.5000
```

***

Record 4
## BaMgNi2 (PBE)

Data for crystalline BaMgNi2 at its relaxed geometry.

Calculated values
**Formation energy from the elements**: 1.7 eV/f.u.
**Crystal system**: tetragonal

CIF file:
```
data_BaMgNi2
_chemical_formula_sum 'Ba2 Mg2 Ni4'
_cell_length_a 4.1065
_cell_length_b 4.1065
_cell_length_c 9.7574
_cell_angle_alpha 90.00
_cell_angle_beta 90.00
_cell_angle_gamma 90.00
_space_group_name_H-M_alt 'I -4 m 2'
_space_group_IT_number 119
_space_group_name_Hall 'I -4 -2'
loop_
_atom_site_label
_atom_site_type_symbol
_atom_site_fract_x
_atom_site_fract_y
_atom_site_fract_z
Ba1 Ba 0.0000 0.0000 0.0000
Mg1 Mg 0.0000 0.5000 0.7500
Ni1 Ni 0.0000 0.0000 0.5000
Ni2 Ni 0.0000 0.5000 0.2500
```

***

Record 5
## LaCoRu (PBE)

Data for crystalline LaCoRu at its relaxed geometry.

Calculated values
**Formation energy from the elements**: -0.3 eV/f.u.
**Crystal system**: orthorhombic

CIF file:
```
data_LaCoRu
_chemical_formula_sum 'La4 Co4 Ru4'
_cell_length_a 5.2480
_cell_length_b 5.3174
_cell_length_c 7.6691
_cell_angle_alpha 90.00
_cell_angle_beta 90.00
_cell_angle_gamma 90.00
_space_group_name_H-M_alt 'I m m a'
_space_group_IT_number 74
_space_group_name_Hall '-I 2b 2'
loop_
_atom_site_label
_atom_site_type_symbol
_atom_site_fract_x
_atom_site_fract_y
_atom_site_fract_z
La1 La 0.0000 0.2500 0.1228
Co1 Co 0.0000 0.0000 0.5000
Ru1 Ru 0.2500 0.2500 0.7500
```

***

Record 6
## Sc4TlAg (PBE)

Data for crystalline Sc4TlAg at its relaxed geometry.

Calculated values
**Formation energy from the elements**: 1.5 eV/f.u.
**Crystal system**: cubic

CIF file:
```
data_Sc4TlAg
_chemical_formula_sum 'Sc16 Tl4 Ag4'
_cell_length_a 8.2650
_cell_length_b 8.2650
_cell_length_c 8.2650
_cell_angle_alpha 90.00
_cell_angle_beta 90.00
_cell_angle_gamma 90.00
_space_group_name_H-M_alt 'F -4 3 m'
_space_group_IT_number 216
_space_group_name_Hall 'F -4 2 3'
loop_
_atom_site_label
_atom_site_type_symbol
_atom_site_fract_x
_atom_site_fract_y
_atom_site_fract_z
Sc1 Sc 0.1245 0.1245 0.1245
Tl1 Tl 0.2500 0.2500 0.7500
Ag1 Ag 0.0000 0.0000 0.5000
```

***

Record 7
## ZrTiO2 (PBE)

Data for crystalline ZrTiO2 at its relaxed geometry.

Calculated values
**Crystal system**: cubic
**ΔE_f (raw)**: -1.867 eV/atom

CIF file:
```
data_ZrTiO2
_chemical_formula_sum 'Zr4 Ti4 O8'
_cell_length_a 5.5444
_cell_length_b 5.5444
_cell_length_c 5.5444
_cell_angle_alpha 90.00
_cell_angle_beta 90.00
_cell_angle_gamma 90.00
_space_group_name_H-M_alt 'F m -3 m'
_space_group_IT_number 225
_space_group_name_Hall '-F 4 2 3'
loop_
_atom_site_label
_atom_site_type_symbol
_atom_site_fract_x
_atom_site_fract_y
_atom_site_fract_z
Zr1 Zr 0.0000 0.0000 0.0000
Ti1 Ti 0.0000 0.0000 0.5000
O1 O 0.2500 0.2500 0.2500
```

***

Record 8
## Ac5Ho2Sn4 (PBE)

Data for crystalline Ac5Ho2Sn4 at its relaxed geometry.

Calculated values
**Formation energy from the elements**: -2.5 eV/f.u.
**Crystal system**: monoclinic

CIF file:
```
data_Ac5Ho2Sn4
_chemical_formula_sum 'Ac10 Ho4 Sn8'
_cell_length_a 28.0920
_cell_length_b 3.7680
_cell_length_c 7.9025
_cell_angle_alpha 90.00
_cell_angle_beta 92.15
_cell_angle_gamma 90.00
_space_group_name_H-M_alt 'C 1 2/m 1'
_space_group_IT_number 12
loop_
_space_group_symop_operation_xyz
'x,y,z'
'-x,-y,-z'
'-x,y,-z'
'x,-y,z'
'x+1/2,y+1/2,z'
'-x+1/2,-y+1/2,-z'
'-x+1/2,y+1/2,-z'
'x+1/2,-y+1/2,z'
loop_
_atom_site_label
_atom_site_type_symbol
_atom_site_fract_x
_atom_site_fract_y
_atom_site_fract_z
Ac1 Ac 0.0000 0.0000 0.0000
Ac2 Ac 0.1358 0.5000 0.8421
Ac3 Ac 0.2345 0.5000 0.2388
Ho1 Ho 0.0863 0.5000 0.3211
Sn1 Sn 0.0280 0.5000 0.6543
Sn2 Sn 0.1656 0.0000 0.4977
```

***

Record 9
## KLi2Hg (PBE)

Data for crystalline KLi2Hg at its relaxed geometry.

Calculated values
**Formation energy from the elements**: -0.3 eV/f.u.
**Crystal system**: orthorhombic

CIF file:
```
data_KLi2Hg
_chemical_formula_sum 'K2 Li4 Hg2'
_cell_length_a 3.6654
_cell_length_b 5.9186
_cell_length_c 10.8163
_cell_angle_alpha 90.00
_cell_angle_beta 90.00
_cell_angle_gamma 90.00
_space_group_name_H-M_alt 'I m m m'
_space_group_IT_number 71
_space_group_name_Hall '-I 2 2'
loop_
_atom_site_label
_atom_site_type_symbol
_atom_site_fract_x
_atom_site_fract_y
_atom_site_fract_z
K1 K 0.0000 0.0000 0.0000
Li1 Li 0.0000 0.5000 0.2009
Hg1 Hg 0.0000 0.0000 0.5000
```

***

Record 10
## Zn2CrSCl (PBE)

Data for crystalline Zn2CrSCl at its relaxed geometry.

Calculated values
**Crystal system**: tetragonal
**ΔE_f (raw)**: 0.143 eV/atom

CIF file:
```
data_Zn2CrSCl
_chemical_formula_sum 'Zn2 Cr1 S1 Cl1'
_cell_length_a 4.9591
_cell_length_b 4.9591
_cell_length_c 4.7198
_cell_angle_alpha 90.00
_cell_angle_beta 90.00
_cell_angle_gamma 90.00
_space_group_name_H-M_alt 'P 4/m m m'
_space_group_IT_number 123
_space_group_name_Hall '-P 4 2'
loop_
_atom_site_label
_atom_site_type_symbol
_atom_site_fract_x
_atom_site_fract_y
_atom_site_fract_z
Zn1 Zn 0.0000 0.5000 0.0000
Cr1 Cr 0.0000 0.0000 0.5000
S1 S 0.0000 0.0000 0.0000
Cl1 Cl 0.5000 0.5000 0.5000
```

***

Record 11
## Th3As2Pb (PBE)

Data for crystalline Th3As2Pb at its relaxed geometry.

Calculated values
**Formation energy from the elements**: -4.5 eV/f.u.
**Crystal system**: orthorhombic

CIF file:
```
data_Th3As2Pb
_chemical_formula_sum 'Th12 As8 Pb4'
_cell_length_a 5.2726
_cell_length_b 12.7375
_cell_length_c 10.1889
_cell_angle_alpha 90.00
_cell_angle_beta 90.00
_cell_angle_gamma 90.00
_space_group_name_H-M_alt 'C m c m'
_space_group_IT_number 63
_space_group_name_Hall '-C 2c 2'
loop_
_atom_site_label
_atom_site_type_symbol
_atom_site_fract_x
_atom_site_fract_y
_atom_site_fract_z
Th1 Th 0.0000 0.1155 0.2500
Th2 Th 0.0000 0.3717 0.0444
As1 As 0.0000 0.0000 0.0000
As2 As 0.0000 0.4638 0.7500
Pb1 Pb 0.0000 0.2070 0.7500
```

***

Record 12
## Zr4AgRh (PBE)

Data for crystalline Zr4AgRh at its relaxed geometry.

Calculated values
**Formation energy from the elements**: -2.0 eV/f.u.
**Crystal system**: tetragonal

CIF file:
```
data_Zr4AgRh
_chemical_formula_sum 'Zr4 Ag1 Rh1'
_cell_length_a 3.3049
_cell_length_b 3.3049
_cell_length_c 11.3181
_cell_angle_alpha 90.00
_cell_angle_beta 90.00
_cell_angle_gamma 90.00
_space_group_name_H-M_alt 'P 4/m m m'
_space_group_IT_number 123
_space_group_name_Hall '-P 4 2'
loop_
_atom_site_label
_atom_site_type_symbol
_atom_site_fract_x
_atom_site_fract_y
_atom_site_fract_z
Zr1 Zr 0.0000 0.0000 0.1451
Zr2 Zr 0.5000 0.5000 0.3280
Ag1 Ag 0.0000 0.0000 0.5000
Rh1 Rh 0.5000 0.5000 0.0000
```

***

Record 13
## CaPuPb2O6 (PBE)

Data for crystalline CaPuPb2O6 at its relaxed geometry.

Calculated values
**Crystal system**: monoclinic
**ΔE_f (raw)**: -2.109 eV/atom

CIF file:
```
data_CaPuPb2O6
_chemical_formula_sum 'Ca2 Pu2 Pb4 O12'
_cell_length_a 5.9017
_cell_length_b 6.2062
_cell_length_c 10.5228
_cell_angle_alpha 90.00
_cell_angle_beta 123.88
_cell_angle_gamma 90.00
_space_group_name_H-M_alt 'P 1 21/c 1'
_space_group_IT_number 14
loop_
_space_group_symop_operation_xyz
'x,y,z'
'-x,-y,-z'
'-x,y+1/2,-z+1/2'
'x,-y+1/2,z+1/2'
loop_
_atom_site_label
_atom_site_type_symbol
_atom_site_fract_x
_atom_site_fract_y
_atom_site_fract_z
Ca1 Ca 0.0000 0.0000 0.0000
Pu1 Pu 0.5000 0.0000 0.5000
Pb1 Pb 0.2435 0.0493 0.7286
O1 O 0.1693 0.1708 0.4769
O2 O 0.2803 0.7322 0.4511
O3 O 0.3508 0.0472 0.2607
```

***

Record 14
## SrSc2Hg (PBE)

Data for crystalline SrSc2Hg at its relaxed geometry.

Calculated values
**Formation energy from the elements**: -0.4 eV/f.u.
**Crystal system**: orthorhombic

CIF file:
```
data_SrSc2Hg
_chemical_formula_sum 'Sr2 Sc4 Hg2'
_cell_length_a 3.5745
_cell_length_b 5.5084
_cell_length_c 11.5397
_cell_angle_alpha 90.00
_cell_angle_beta 90.00
_cell_angle_gamma 90.00
_space_group_name_H-M_alt 'I m m m'
_space_group_IT_number 71
_space_group_name_Hall '-I 2 2'
loop_
_atom_site_label
_atom_site_type_symbol
_atom_site_fract_x
_atom_site_fract_y
_atom_site_fract_z
Sr1 Sr 0.0000 0.0000 0.0000
Sc1 Sc 0.0000 0.5000 0.2115
Hg1 Hg 0.0000 0.0000 0.5000
```

***

Record 15
## TiGaAs3 (PBE)

Data for crystalline TiGaAs3 at its relaxed geometry.

Calculated values
**Formation energy from the elements**: 0.4 eV/f.u.
**Crystal system**: cubic

CIF file:
```
data_TiGaAs3
_chemical_formula_sum 'Ti1 Ga1 As3'
_cell_length_a 4.9130
_cell_length_b 4.9130
_cell_length_c 4.9130
_cell_angle_alpha 90.00
_cell_angle_beta 90.00
_cell_angle_gamma 90.00
_space_group_name_H-M_alt 'P m -3 m'
_space_group_IT_number 221
_space_group_name_Hall '-P 4 2 3'
loop_
_atom_site_label
_atom_site_type_symbol
_atom_site_fract_x
_atom_site_fract_y
_atom_site_fract_z
Ti1 Ti 0.0000 0.0000 0.0000
Ga1 Ga 0.5000 0.5000 0.5000
As1 As 0.0000 0.0000 0.5000
```

***

Record 16
## PrEuTlPd (PBE)

Data for crystalline PrEuTlPd at its relaxed geometry.

Calculated values
**Formation energy from the elements**: -1.8 eV/f.u.
**Crystal system**: cubic

CIF file:
```
data_PrEuTlPd
_chemical_formula_sum 'Pr4 Eu4 Tl4 Pd4'
_cell_length_a 7.6037
_cell_length_b 7.6037
_cell_length_c 7.6037
_cell_angle_alpha 90.00
_cell_angle_beta 90.00
_cell_angle_gamma 90.00
_space_group_name_H-M_alt 'F -4 3 m'
_space_group_IT_number 216
_space_group_name_Hall 'F -4 2 3'
loop_
_atom_site_label
_atom_site_type_symbol
_atom_site_fract_x
_atom_site_fract_y
_atom_site_fract_z
Pr1 Pr 0.0000 0.0000 0.0000
Eu1 Eu 0.0000 0.0000 0.5000
Tl1 Tl 0.2500 0.2500 0.7500
Pd1 Pd 0.2500 0.2500 0.2500
```

***

Record 17
## VCdHPd2 (PBE)

Data for crystalline VCdHPd2 at its relaxed geometry.

Calculated values
**Calculated total energy**: -2.93 eV per atom
**Crystal system**: tetragonal

CIF file:
```
data_VCdHPd2
_chemical_formula_sum 'V1 Cd1 H1 Pd2'
_cell_length_a 4.9847
_cell_length_b 4.9847
_cell_length_c 5.1196
_cell_angle_alpha 90.00
_cell_angle_beta 90.00
_cell_angle_gamma 90.00
_space_group_name_H-M_alt 'P 4/m m m'
_space_group_IT_number 123
_space_group_name_Hall '-P 4 2'
loop_
_atom_site_label
_atom_site_type_symbol
_atom_site_fract_x
_atom_site_fract_y
_atom_site_fract_z
V1 V 0.0000 0.0000 0.0000
Cd1 Cd 0.0000 0.0000 0.5000
H1 H 0.5000 0.5000 0.0000
Pd1 Pd 0.0000 0.5000 0.5000
```

***

Record 18
## YScTe3 (PBE)

Data for crystalline YScTe3 at its relaxed geometry.

Calculated values
**Crystal system**: cubic
**ΔE_f (raw)**: -0.628 eV/atom

CIF file:
```
data_YScTe3
_chemical_formula_sum 'Y1 Sc1 Te3'
_cell_length_a 5.4862
_cell_length_b 5.4862
_cell_length_c 5.4862
_cell_angle_alpha 90.00
_cell_angle_beta 90.00
_cell_angle_gamma 90.00
_space_group_name_H-M_alt 'P m -3 m'
_space_group_IT_number 221
_space_group_name_Hall '-P 4 2 3'
loop_
_atom_site_label
_atom_site_type_symbol
_atom_site_fract_x
_atom_site_fract_y
_atom_site_fract_z
Y1 Y 0.0000 0.0000 0.0000
Sc1 Sc 0.5000 0.5000 0.5000
Te1 Te 0.0000 0.5000 0.5000
```

***

Record 19
## HoH8IrPt2 (PBE)

Data for crystalline HoH8IrPt2 at its relaxed geometry.

Calculated values
**Calculated total energy**: -4.57 eV per atom
**Crystal system**: triclinic

CIF file:
```
data_HoH8IrPt2
_chemical_formula_sum 'Ho1 H8 Ir1 Pt2'
_cell_length_a 4.4104
_cell_length_b 4.5784
_cell_length_c 5.9860
_cell_angle_alpha 83.10
_cell_angle_beta 82.57
_cell_angle_gamma 78.96
_space_group_name_H-M_alt 'P -1'
_space_group_IT_number 2
loop_
_space_group_symop_operation_xyz
'x,y,z'
'-x,-y,-z'
loop_
_atom_site_label
_atom_site_type_symbol
_atom_site_fract_x
_atom_site_fract_y
_atom_site_fract_z
Ho1 Ho 0.0000 0.0000 0.0000
H1 H 0.2050 0.2864 0.4765
H2 H 0.2061 0.7436 0.3238
H3 H 0.2814 0.4786 0.9342
H4 H 0.3050 0.8853 0.6602
Ir1 Ir 0.0000 0.0000 0.5000
Pt1 Pt 0.3841 0.3629 0.2021
```

***

Record 20
## LiTmGa (PBE)

Data for crystalline LiTmGa at its relaxed geometry.

Calculated values
**Formation energy from the elements**: -1.0 eV/f.u.
**Crystal system**: hexagonal

CIF file:
```
data_LiTmGa
_chemical_formula_sum 'Li1 Tm1 Ga1'
_cell_length_a 4.6341
_cell_length_b 4.6341
_cell_length_c 3.2830
_cell_angle_alpha 90.00
_cell_angle_beta 90.00
_cell_angle_gamma 120.00
_space_group_name_H-M_alt 'P -6 m 2'
_space_group_IT_number 187
_space_group_name_Hall 'P -6 2'
loop_
_atom_site_label
_atom_site_type_symbol
_atom_site_fract_x
_atom_site_fract_y
_atom_site_fract_z
Li1 Li 0.0000 0.0000 0.0000
Tm1 Tm 0.6667 0.3333 0.5000
Ga1 Ga 0.3333 0.6667 0.0000
```